Record 1
A relaxed structure of Ce2Pd4Pt3, computed with GGA-PBE.

The structure in POSCAR format:
```
Ce2Pd4Pt3
1.0
5.348 -0.159 0.000
-2.626 4.661 0.000
-1.361 -2.251 6.764
Ce Pd Pt
2 4 3
Cartesian
1.361 2.251 1.796 Ce
0.000 0.000 4.969 Ce
2.608 1.497 4.384 Pd
0.114 3.005 4.384 Pd
-1.247 0.754 2.381 Pd
1.247 -0.754 2.381 Pd
2.674 -0.080 0.000 Pt
0.000 0.000 0.000 Pt
-1.313 2.331 0.000 Pt
```

Values from the calculation:
DFT total energy (eV per atom): -6.412
Space-group type: Fmmm
DOS(E_F) (states/eV per cell): 8.56

Record 2
A relaxed structure of CePdPt, computed with GGA-PBE.

The structure in POSCAR format:
```
CePdPt
1.0
-3.492 1.027 3.995
2.596 -3.521 3.174
2.994 4.399 -2.170
Pt Ce Pd
2 2 2
Cartesian
0.791 0.287 4.273 Pt
0.766 3.623 3.393 Pt
2.971 0.311 2.517 Ce
0.401 0.496 0.223 Ce
2.179 2.698 1.211 Pd
-0.840 1.635 2.501 Pd
```

Values from the calculation:
Space-group type: I4_1md
E above lowest polymorph (eV per formula unit): 0.847
DOS(E_F) (states/eV per cell): 6.30